# 1
Density functional theory data (PBE-GGA) for a geometry-optimized NaCaSb structure.

a = 4.375 Å, b = 4.375 Å, c = 5.573 Å
α = 113.11°, β = 113.11°, γ = 90.00°
Sites, in units of the cell vectors:
Sb  0.292  0.292  0.584
Ca  0.936  0.936  0.873
Na  0.622  0.622  0.243

## Properties
**E_tot**: -9.09 eV per cell
**D(E_F)**: 0.359 states/eV/f.u.
**M_tot**: 0.00 μB per formula unit
**Space group**: I4mm (107)

# 2
Density functional theory data (PBE-GGA) for a geometry-optimized Tb2Ho3Al3 structure.

a = 4.781 Å, b = 4.779 Å, c = 8.814 Å
α = 90.00°, β = 90.00°, γ = 90.00°
Sites, in units of the cell vectors:
Tb  0.000  0.000  0.729
Tb  0.000  0.000  0.271
Ho  0.500  0.500  0.725
Ho  0.500  0.500  0.275
Ho  0.500  0.000  0.000
Al  0.500  0.000  0.500
Al  0.000  0.500  0.000
Al  0.000  0.500  0.500

## Properties
**Energy of formation from the pure elements**: -26.4 kJ/mol of atoms
**D(E_F)**: 7.980 states/eV/f.u.
**M_tot**: 0.00 μB per formula unit
**Offset from the most stable computed form**: 20.3 meV/atom
**Space group**: Pmmm (47)